Record 1
Crystalline AlPd2Pt8 at its relaxed geometry. Source: Alexandria, functional PBE.

a = 3.873 Å, b = 7.849 Å, c = 7.307 Å
α = 122.48°, β = 105.37°, γ = 90.00°
Atoms (fractional coordinates):
1 Pt 0.335 0.586 0.670
2 Pt 0.335 0.084 0.670
3 Pt 0.164 0.164 0.327
4 Pt 0.000 0.248 0.000
5 Pt 0.000 0.752 0.000
6 Pt 0.665 0.414 0.330
7 Pt 0.836 0.836 0.673
8 Pt 0.665 0.916 0.330
9 Pd 0.845 0.345 0.691
10 Pd 0.155 0.655 0.309
11 Al 0.500 0.000 0.000

Output
distance to the lowest polymorph of the same formula	0	meV/atom
symmetry	Immm, No. 71

Record 2
Crystalline Al6PdPt8 at its relaxed geometry. Source: Alexandria, functional PBE.

a = 7.278 Å, b = 7.278 Å, c = 6.678 Å
α = 56.99°, β = 56.99°, γ = 60.00°
Atoms (fractional coordinates):
1 Pt 0.335 0.335 0.996
2 Pt 0.108 0.445 0.671
3 Pt 0.445 0.776 0.671
4 Pt 0.555 0.224 0.329
5 Pt 0.892 0.555 0.329
6 Pt 0.665 0.665 0.004
7 Pt 0.776 0.108 0.671
8 Pt 0.224 0.892 0.329
9 Al 0.062 0.729 0.815
10 Al 0.271 0.606 0.185
11 Al 0.394 0.062 0.815
12 Al 0.938 0.271 0.185
13 Al 0.606 0.938 0.185
14 Al 0.729 0.394 0.815
15 Pd 0.000 0.000 0.000

Output
symmetry	R-3, No. 148

Record 3
Crystalline Al4PdPt7 at its relaxed geometry. Source: Alexandria, functional PBE.

a = 7.014 Å, b = 6.604 Å, c = 4.250 Å
α = 108.77°, β = 89.99°, γ = 93.55°
Atoms (fractional coordinates):
1 Pt 0.359 0.547 0.773
2 Pt 0.500 0.000 0.000
3 Pt 0.070 0.655 0.325
4 Pt 0.237 0.091 0.545
5 Pt 0.641 0.453 0.227
6 Pt 0.763 0.909 0.455
7 Pt 0.930 0.345 0.675
8 Pd 0.000 0.000 0.000
9 Al 0.581 0.235 0.618
10 Al 0.239 0.317 0.159
11 Al 0.761 0.683 0.841
12 Al 0.419 0.765 0.382

Output
symmetry	P-1, No. 2

Record 4
Crystalline AlPd6Pt8 at its relaxed geometry. Source: Alexandria, functional PBE.

a = 6.753 Å, b = 6.753 Å, c = 7.203 Å
α = 62.05°, β = 62.05°, γ = 60.00°
Atoms (fractional coordinates):
1 Pd 0.446 0.754 0.874
2 Pd 0.754 0.926 0.874
3 Pd 0.246 0.074 0.126
4 Pd 0.554 0.246 0.126
5 Pd 0.074 0.554 0.126
6 Pd 0.926 0.446 0.874
7 Pt 0.165 0.165 0.505
8 Pt 0.699 0.404 0.675
9 Pt 0.222 0.699 0.675
10 Pt 0.778 0.301 0.325
11 Pt 0.835 0.835 0.495
12 Pt 0.301 0.596 0.325
13 Pt 0.596 0.778 0.325
14 Pt 0.404 0.222 0.675
15 Al 0.000 0.000 0.000

Output
symmetry	R-3, No. 148

Record 5
Crystalline AlPd12Pt3 at its relaxed geometry. Source: Alexandria, functional PBE.

a = 3.934 Å, b = 3.934 Å, c = 15.798 Å
α = 90.00°, β = 90.00°, γ = 90.00°
Atoms (fractional coordinates):
1 Pd 0.000 0.500 0.120
2 Pd 0.000 0.500 0.626
3 Pd 0.500 0.500 0.500
4 Pd 0.500 0.500 0.247
5 Pd 0.000 0.500 0.880
6 Pd 0.000 0.500 0.374
7 Pd 0.500 0.000 0.880
8 Pd 0.500 0.000 0.120
9 Pd 0.500 0.500 0.000
10 Pd 0.500 0.000 0.374
11 Pd 0.500 0.500 0.753
12 Pd 0.500 0.000 0.626
13 Pt 0.000 0.000 0.249
14 Pt 0.000 0.000 0.751
15 Pt 0.000 0.000 0.500
16 Al 0.000 0.000 0.000

Output
symmetry	P4/mmm, No. 123

Record 6
Crystalline AlPd2Pt2 at its relaxed geometry. Source: Alexandria, functional PBE.

a = 6.383 Å, b = 6.383 Å, c = 4.058 Å
α = 90.00°, β = 90.00°, γ = 90.00°
Atoms (fractional coordinates):
1 Pd 0.160 0.660 0.500
2 Pd 0.660 0.840 0.500
3 Pd 0.840 0.340 0.500
4 Pd 0.340 0.160 0.500
5 Pt 0.644 0.144 0.000
6 Pt 0.356 0.856 0.000
7 Pt 0.856 0.644 0.000
8 Pt 0.144 0.356 0.000
9 Al 0.000 0.000 0.000
10 Al 0.500 0.500 0.000

Output
distance to the lowest polymorph of the same formula	78	meV/atom
symmetry	P4/mbm, No. 127

| no. | electronic total energy (eV/atom) | E_form (eV per atom) |
| --- | --- | --- |
| 1 | -5.8759 | -0.198 |
| 2 | -5.9283 | -0.863 |
| 3 | -5.9419 | -0.738 |
| 4 | -5.6136 | -0.065 |
| 5 | -5.4328 | -0.172 |
| 6 | -5.5416 | -0.300 |